(1)
DFT (PBE) results for a relaxed La2Tb7Pm3 crystal.

a = 6.4228 Å, b = 3.5634 Å, c = 17.7464 Å
α = 90.00°, β = 96.31°, γ = 90.00°
Closest atoms and distances in Å follow each position.
Positions (direct):
La  0.0556  0.0000  0.1724  5 Tb 3.45-3.58, 2 La 3.56, 4 Pm 3.64-3.72
La  0.9444  0.0000  0.8276  5 Tb 3.45-3.58, 2 La 3.56, 4 Pm 3.64-3.72
Tb  0.0000  0.5000  0.5000  8 Tb 3.54-3.59, 4 Pm 3.67
Tb  0.2276  0.0000  0.6645  8 Tb 3.56-3.68, 3 Pm 3.56-3.76, 1 La 3.58
Tb  0.2560  0.0000  0.0000  2 Tb 3.13-3.29, 2 La 3.45-3.47
Tb  0.2737  0.5000  0.3374  7 Tb 3.54-3.68, 3 Pm 3.56-3.78, 2 La 3.58
Tb  0.7263  0.5000  0.6626  7 Tb 3.54-3.68, 3 Pm 3.56-3.78, 2 La 3.58
Tb  0.7440  0.0000  0.0000  2 Tb 3.13-3.29, 2 La 3.45-3.47
Tb  0.7724  0.0000  0.3355  8 Tb 3.56-3.68, 3 Pm 3.56-3.76, 1 La 3.58
Pm  0.4551  0.5000  0.8410  2 Pm 3.56, 4 La 3.64-3.72, 7 Tb 3.66-3.78
Pm  0.5000  0.0000  0.5000  10 Tb 3.56-3.67, 2 Pm 3.56
Pm  0.5449  0.5000  0.1590  2 Pm 3.56, 4 La 3.64-3.72, 7 Tb 3.66-3.78

Computed properties:
DFT formation energy = 0.0818 eV/atom
total energy = -4.628 eV per atom
space group = No. 10
ΔE to the lowest computed polymorph = 0.000 eV per atom

***

(2)
DFT (PBE) results for a relaxed Cs2KTlPb crystal.

a = 7.5422 Å, b = 7.5422 Å, c = 5.8587 Å
α = 90.00°, β = 90.00°, γ = 90.00°
Closest atoms and distances in Å follow each position.
Positions (direct):
Cs  0.0000  0.5000  0.0000  2 Tl 3.77
Cs  0.5000  0.0000  0.0000  2 Tl 3.77
K  0.0000  0.0000  0.5000  8 Cs 4.78, 4 Pb 5.33
Tl  0.5000  0.5000  0.0000  2 Pb 2.93
Pb  0.5000  0.5000  0.5000  2 Tl 2.93

Computed properties:
DFT formation energy = 0.0489 eV/atom
total energy = -1.727 eV per atom
space group = No. 123
ΔE to the lowest computed polymorph = 0.000 eV per atom

***

(3)
DFT (PBE) results for a relaxed ZnCo2Os crystal.

a = 2.7462 Å, b = 4.2966 Å, c = 4.3090 Å
α = 90.00°, β = 90.00°, γ = 90.00°
Closest atoms and distances in Å follow each position.
Positions (direct):
Zn  0.0000  0.0000  0.0000  4 Co 2.55, 4 Os 2.55, 2 Zn 2.75
Co  0.0000  0.5000  0.5000  4 Os 2.55, 6 Co 2.55-2.75
Co  0.5000  0.5000  0.0000  4 Zn 2.55, 6 Co 2.55-2.75
Os  0.5000  0.0000  0.5000  4 Co 2.55, 4 Zn 2.55, 2 Os 2.75

Computed properties:
DFT formation energy = 0.2964 eV/atom
total energy = -6.382 eV per atom
space group = No. 47

***

(4)
DFT (PBE) results for a relaxed LiGeB crystal.

a = 7.4650 Å, b = 7.4650 Å, c = 3.1462 Å
α = 90.00°, β = 90.00°, γ = 149.42°
Closest atoms and distances in Å follow each position.
Positions (direct):
Li  0.0829  0.9171  0.7500  4 B 2.43
Li  0.9171  0.0829  0.2500  4 B 2.43
Ge  0.2826  0.7174  0.2500  4 Ge 2.69, 2 Li 2.76
Ge  0.7174  0.2826  0.7500  4 Ge 2.69, 2 Li 2.76
B  0.5000  0.5000  0.0000  2 B 1.57
B  0.5000  0.5000  0.5000  2 B 1.57

Computed properties:
DFT formation energy = 0.1214 eV/atom
total energy = -4.281 eV per atom
space group = No. 63

***

(5)
DFT (PBE) results for a relaxed CdReNi2 crystal.

a = 4.5877 Å, b = 4.5877 Å, c = 2.6777 Å
α = 90.00°, β = 90.00°, γ = 98.48°
Closest atoms and distances in Å follow each position.
Positions (direct):
Cd  0.0000  0.0000  0.0000  8 Ni 2.66, 2 Cd 2.68
Re  0.5000  0.5000  0.0000  8 Ni 2.66, 2 Re 2.68
Ni  0.0000  0.5000  0.5000  4 Cd 2.66, 4 Re 2.66, 2 Ni 2.68
Ni  0.5000  0.0000  0.5000  4 Cd 2.66, 4 Re 2.66, 2 Ni 2.68

Computed properties:
DFT formation energy = 0.2669 eV/atom
total energy = -5.965 eV per atom
space group = No. 65

***

(6)
DFT (PBE) results for a relaxed Cs3Pr2O4 crystal.

a = 7.9413 Å, b = 7.9413 Å, c = 11.5512 Å
α = 121.01°, β = 121.01°, γ = 26.49°
Closest atoms and distances in Å follow each position.
Positions (direct):
Cs  0.0000  0.0000  0.0000  4 O 3.19
Cs  0.4130  0.4130  0.5552  4 O 3.06-3.38
Cs  0.5870  0.5870  0.4448  4 O 3.06-3.38
Pr  0.3032  0.3032  0.1578  5 O 2.28-2.49
Pr  0.6968  0.6968  0.8422  5 O 2.28-2.49
O  0.1000  0.1000  0.7002  2 Pr 2.38
O  0.3210  0.3210  0.9741  3 Pr 2.28-2.49
O  0.6790  0.6790  0.0259  3 Pr 2.28-2.49
O  0.9000  0.9000  0.2998  2 Pr 2.38

Computed properties:
total energy = -5.610 eV per atom
energy relative to the elements, uncorrected = -2.060 eV per atom
space group = No. 12

***

(7)
DFT (PBE) results for a relaxed Mg5Zn crystal.

a = 9.6211 Å, b = 3.2029 Å, c = 8.3492 Å
α = 90.00°, β = 90.00°, γ = 90.00°
Closest atoms and distances in Å follow each position.
Positions (direct):
Mg  0.0000  0.0000  0.0000  2 Zn 2.86, 8 Mg 3.06-3.13
Mg  0.0297  0.5000  0.3205  2 Zn 2.89, 8 Mg 3.05-3.23
Mg  0.2500  0.0000  0.5413  1 Zn 2.98, 12 Mg 3.20-3.34
Mg  0.2500  0.5000  0.8807  2 Zn 3.00, 10 Mg 3.06-3.26
Mg  0.4703  0.5000  0.3205  2 Zn 2.89, 8 Mg 3.05-3.23
Mg  0.5000  0.0000  0.0000  2 Zn 2.86, 8 Mg 3.06-3.13
Mg  0.5297  0.5000  0.6795  2 Zn 2.89, 8 Mg 3.05-3.23
Mg  0.7500  0.0000  0.4587  1 Zn 2.98, 12 Mg 3.20-3.34
Mg  0.7500  0.5000  0.1193  2 Zn 3.00, 10 Mg 3.06-3.26
Mg  0.9703  0.5000  0.6795  2 Zn 2.89, 8 Mg 3.05-3.23
Zn  0.2500  0.0000  0.1844  9 Mg 2.86-3.00
Zn  0.7500  0.0000  0.8156  9 Mg 2.86-3.00

Computed properties:
DFT formation energy = -0.0219 eV/atom
total energy = -1.563 eV per atom
space group = No. 51

***

(8)
DFT (PBE) results for a relaxed NdDy2Ni crystal.

a = 6.9170 Å, b = 9.6492 Å, c = 6.4268 Å
α = 90.00°, β = 90.00°, γ = 90.00°
Closest atoms and distances in Å follow each position.
Positions (direct):
Nd  0.0319  0.2500  0.1396  2 Ni 2.81-2.93
Nd  0.4681  0.7500  0.6396  2 Ni 2.81-2.93
Nd  0.5319  0.2500  0.3604  2 Ni 2.81-2.93
Nd  0.9681  0.7500  0.8604  2 Ni 2.81-2.93
Dy  0.1760  0.0670  0.6759  2 Ni 2.74-2.82
Dy  0.1760  0.4330  0.6759  2 Ni 2.74-2.82
Dy  0.3240  0.5670  0.1759  2 Ni 2.74-2.82
Dy  0.3240  0.9330  0.1759  2 Ni 2.74-2.82
Dy  0.6760  0.0670  0.8241  2 Ni 2.74-2.82
Dy  0.6760  0.4330  0.8241  2 Ni 2.74-2.82
Dy  0.8240  0.5670  0.3241  2 Ni 2.74-2.82
Dy  0.8240  0.9330  0.3241  2 Ni 2.74-2.82
Ni  0.1110  0.7500  0.4308  4 Dy 2.74-2.82, 2 Nd 2.81-2.93
Ni  0.3890  0.2500  0.9308  4 Dy 2.74-2.82, 2 Nd 2.81-2.93
Ni  0.6110  0.7500  0.0692  4 Dy 2.74-2.82, 2 Nd 2.81-2.93
Ni  0.8890  0.2500  0.5692  4 Dy 2.74-2.82, 2 Nd 2.81-2.93

Computed properties:
DFT formation energy = -0.2215 eV/atom
total energy = -5.160 eV per atom
space group = No. 62
ΔE to the lowest computed polymorph = 0.000 eV per atom

***

(9)
DFT (PBE) results for a relaxed CeSm5N4 crystal.

a = 8.0469 Å, b = 8.0469 Å, c = 7.3589 Å
α = 102.61°, β = 102.61°, γ = 25.58°
Closest atoms and distances in Å follow each position.
Positions (direct):
Ce  0.0000  0.0000  0.0000  6 N 2.53-2.54
Sm  0.0000  0.0000  0.5000  4 N 2.59
Sm  0.3351  0.3351  0.1507  4 N 2.47-2.59
Sm  0.3404  0.3404  0.6921  3 N 2.42-2.45
Sm  0.6596  0.6596  0.3079  3 N 2.42-2.45
Sm  0.6649  0.6649  0.8493  4 N 2.47-2.59
N  0.1659  0.1659  0.0824  5 Sm 2.45-2.59, 1 Ce 2.54
N  0.4986  0.4986  0.7546  4 Sm 2.42-2.59, 2 Ce 2.53
N  0.5014  0.5014  0.2454  4 Sm 2.42-2.59, 2 Ce 2.53
N  0.8341  0.8341  0.9176  5 Sm 2.45-2.59, 1 Ce 2.54

Computed properties:
total energy = -7.446 eV per atom
energy relative to the elements, uncorrected = -1.163 eV per atom
space group = No. 12

***

(10)
DFT (PBE) results for a relaxed La7Er2Th2 crystal.

a = 8.1322 Å, b = 8.1322 Å, c = 6.2401 Å
α = 104.93°, β = 104.93°, γ = 90.71°
Closest atoms and distances in Å follow each position.
Positions (direct):
La  0.0000  0.0000  0.0000  6 La 3.36-3.70
La  0.0566  0.5822  0.8301  3 La 3.09-3.36, 1 Er 3.41
La  0.2350  0.2350  0.5948  5 La 3.36-3.71, 2 Th 3.59-3.61, 2 Er 3.62
La  0.4178  0.9434  0.1699  3 La 3.09-3.36, 1 Er 3.41
La  0.5822  0.0566  0.8301  3 La 3.09-3.36, 1 Er 3.41
La  0.7650  0.7650  0.4052  5 La 3.36-3.71, 2 Th 3.59-3.61, 2 Er 3.62
La  0.9434  0.4178  0.1699  3 La 3.09-3.36, 1 Er 3.41
Er  0.2243  0.7757  0.5000  6 La 3.41-3.62, 2 Th 3.64
Er  0.7757  0.2243  0.5000  6 La 3.41-3.62, 2 Th 3.64
Th  0.4259  0.4259  0.1979  2 Th 3.47-3.52, 7 La 3.59-3.88, 2 Er 3.64
Th  0.5741  0.5741  0.8021  2 Th 3.47-3.52, 7 La 3.59-3.88, 2 Er 3.64

Computed properties:
DFT formation energy = 0.1561 eV/atom
total energy = -5.158 eV per atom
space group = No. 12
ΔE to the lowest computed polymorph = 0.056 eV per atom

***

(11)
DFT (PBE) results for a relaxed ZrZn2Te crystal.

a = 9.3055 Å, b = 9.3055 Å, c = 9.3055 Å
α = 20.49°, β = 20.49°, γ = 20.49°
Closest atoms and distances in Å follow each position.
Positions (direct):
Zr  0.0000  0.0000  0.0000  6 Zn 2.95
Zn  0.2510  0.2510  0.2510  3 Zr 2.95, 3 Te 2.99
Zn  0.7490  0.7490  0.7490  3 Zr 2.95, 3 Te 2.99
Te  0.5000  0.5000  0.5000  6 Zn 2.99, 6 Te 3.31

Computed properties:
total energy = -3.463 eV per atom
energy relative to the elements, uncorrected = 0.096 eV per atom
space group = No. 166

***

(12)
DFT (PBE) results for a relaxed Tb2HPt crystal.

a = 7.1093 Å, b = 7.1093 Å, c = 6.7821 Å
α = 110.62°, β = 110.62°, γ = 30.50°
Closest atoms and distances in Å follow each position.
Positions (direct):
Tb  0.0185  0.0185  0.2663  2 H 2.21-2.28
Tb  0.2909  0.2909  0.2622  2 H 2.26
Tb  0.7091  0.7091  0.7378  2 H 2.26
Tb  0.9815  0.9815  0.7337  2 H 2.21-2.28
H  0.1145  0.1145  0.6081  4 Tb 2.21-2.28
H  0.8855  0.8855  0.3919  4 Tb 2.21-2.28
Pt  0.3809  0.3809  0.9278  7 Tb 2.91-3.03, 1 Pt 3.05
Pt  0.6191  0.6191  0.0722  7 Tb 2.91-3.03, 1 Pt 3.05

Computed properties:
total energy = -5.559 eV per atom
space group = No. 12
ΔE to the lowest computed polymorph = 0.000 eV per atom

***

Which value of total energy does entry 12 give?
-5.559 eV per atom